# Ca7In2N

A relaxed Ca7In2N crystal (PBE, Alexandria).

## Properties
The calculation puts the density of states at the Fermi level at 0.841 states/eV per atom. The total energy is -2.838 eV per atom. The energy relative to the elements, uncorrected comes out at -0.56 eV per formula unit.

Lattice parameters (Å, degrees): 7.681 7.681 7.681 60.00 60.00 60.00
Sites, in units of the cell vectors:
In1 0.250 0.250 0.250
In2 0.750 0.750 0.750
N1 0.000 0.000 0.000
Ca1 0.781 0.219 0.781
Ca2 0.781 0.219 0.219
Ca3 0.219 0.781 0.219
Ca4 0.219 0.781 0.781
Ca5 0.219 0.219 0.781
Ca6 0.500 0.500 0.500
Ca7 0.781 0.781 0.219

# Pu2InSi

A relaxed Pu2InSi crystal (PBE, Alexandria).

## Properties
The calculation puts the density of states at the Fermi level at 3.135 states/eV per atom. The total energy is -9.440 eV per atom. The energy relative to the elements, uncorrected comes out at -0.94 eV per formula unit.

Lattice parameters (Å, degrees): 3.882 3.882 6.150 90.00 90.00 90.00
Sites, in units of the cell vectors:
Pu1 0.000 0.000 0.222
Pu2 0.000 0.000 0.778
In1 0.500 0.500 0.500
Si1 0.500 0.500 0.000

# SrAlPt

A relaxed SrAlPt crystal (PBE, Alexandria).

## Properties
The calculation puts the density of states at the Fermi level at 0.521 states/eV per atom. Its formation energy is -0.471 eV per atom. The total energy is -4.293 eV per atom.

Lattice parameters (Å, degrees): 4.778 4.778 4.778 60.00 60.00 60.00
Sites, in units of the cell vectors:
Sr1 0.000 0.000 0.000
Pt1 0.250 0.250 0.250
Al1 0.500 0.500 0.500

# LiTcBr

A relaxed LiTcBr crystal (PBE, Alexandria).

## Properties
The calculation puts the density of states at the Fermi level at 0.786 states/eV per atom. The total energy is -3.784 eV per atom. The energy above the most stable polymorph in this dataset comes out at 1.45 eV/f.u. The energy relative to the elements, uncorrected comes out at 2.60 eV per formula unit.

Lattice parameters (Å, degrees): 4.244 4.244 4.244 60.00 60.00 60.00
Sites, in units of the cell vectors:
Br1 0.000 0.000 0.000
Li1 0.500 0.500 0.500
Tc1 0.750 0.750 0.750

# CeCu4Si3

A relaxed CeCu4Si3 crystal (PBE, Alexandria).

## Properties
The calculation puts the density of states at the Fermi level at 0.818 states/eV per atom. The total energy is -5.178 eV per atom. The energy relative to the elements, uncorrected comes out at -2.84 eV per formula unit.

Lattice parameters (Å, degrees): 4.042 4.042 7.574 90.00 90.00 90.00
Sites, in units of the cell vectors:
Si1 0.500 0.500 0.654
Si2 0.000 0.000 0.000
Si3 0.500 0.500 0.346
Cu1 0.000 0.500 0.173
Cu2 0.500 0.000 0.173
Cu3 0.000 0.500 0.827
Cu4 0.500 0.000 0.827
Ce1 0.000 0.000 0.500

# BeIr2Os

A relaxed BeIr2Os crystal (PBE, Alexandria).

## Properties
The calculation puts the density of states at the Fermi level at 0.500 states/eV per atom. Its formation energy is -0.265 eV per atom. The total energy is -8.435 eV per atom.

Lattice parameters (Å, degrees): 2.762 2.762 6.677 90.00 90.00 90.00
Sites, in units of the cell vectors:
Os1 0.500 0.500 0.250
Ir1 0.000 0.000 0.534
Ir2 0.000 0.000 0.966
Be1 0.500 0.500 0.750

# NiHg2P2

A relaxed NiHg2P2 crystal (PBE, Alexandria).

## Properties
The calculation puts the density of states at the Fermi level at 0.383 states/eV per atom. Its formation energy is 0.682 eV per atom. The total energy is -2.759 eV per atom. The energy above the most stable polymorph in this dataset comes out at 3.61 eV/f.u.

Lattice parameters (Å, degrees): 7.101 7.101 4.080 90.00 90.00 90.00
Sites, in units of the cell vectors:
Hg1 0.314 0.814 0.000
Hg2 0.686 0.186 0.000
Hg3 0.814 0.686 0.000
Hg4 0.186 0.314 0.000
P1 0.392 0.108 0.500
P2 0.608 0.892 0.500
P3 0.892 0.392 0.500
P4 0.108 0.608 0.500
Ni1 0.500 0.500 0.000
Ni2 0.000 0.000 0.000

# LaErLuIn

A relaxed LaErLuIn crystal (PBE, Alexandria).

## Properties
The calculation puts the density of states at the Fermi level at 1.606 states/eV per atom. Its formation energy is -0.157 eV per atom. The total energy is -4.345 eV per atom.

Lattice parameters (Å, degrees): 5.502 5.502 5.502 60.00 60.00 60.00
Sites, in units of the cell vectors:
Er1 0.750 0.750 0.750
In1 0.500 0.500 0.500
La1 0.250 0.250 0.250
Lu1 0.000 0.000 0.000

Repeat the sixth record exactly.
# BeIr2Os

A relaxed BeIr2Os crystal (PBE, Alexandria).

## Properties
The calculation puts the density of states at the Fermi level at 0.500 states/eV per atom. Its formation energy is -0.265 eV per atom. The total energy is -8.435 eV per atom.

Lattice parameters (Å, degrees): 2.762 2.762 6.677 90.00 90.00 90.00
Sites, in units of the cell vectors:
Os1 0.500 0.500 0.250
Ir1 0.000 0.000 0.534
Ir2 0.000 0.000 0.966
Be1 0.500 0.500 0.750

> What is the formula in the sixth record?

BeIr2Os